No. 1
# TaNiIr2

A crystal of TaNiIr2 relaxed with PBEsol (meta-GGA SCAN, Alexandria).

**Calculated volume**: 14.1 Å³ per atom
**D(E_F)**: 3.01 states/eV/f.u.
**Final energy**: -56.263 eV per atom
**Crystal system**: trigonal
**Total magnetization**: 0.00 μB/f.u.
**ΔH_f (0 K)**: -24 meV/atom
**Space-group type**: R3m (160)

Lattice parameters (Å, degrees): 2.726 2.726 8.914 81.20 81.20 60.00
Element x y z (fractional)
Ir1 0.001 0.001 0.996
Ir2 0.753 0.753 0.740
Ni1 0.498 0.498 0.506
Ta1 0.247 0.247 0.258

No. 2
# HfMnBeZn2

A crystal of HfMnBeZn2 relaxed with PBEsol (meta-GGA SCAN, Alexandria).

**Calculated volume**: 15.5 Å³ per atom
**D(E_F)**: 3.31 states/eV/f.u.
**Final energy**: -22.172 eV per atom
**Crystal system**: tetragonal
**Total magnetization**: 3.45 μB/f.u.
**ΔH_f (0 K)**: 290 meV/atom
**Space-group type**: P4/mmm (123)

Lattice parameters (Å, degrees): 4.098 4.098 4.622 90.00 90.00 90.00
Element x y z (fractional)
Zn1 0.000 0.500 0.000
Zn2 0.500 0.000 0.000
Hf1 0.000 0.000 0.500
Be1 0.000 0.000 0.000
Mn1 0.500 0.500 0.500

No. 3
# GaFePb2N

A crystal of GaFePb2N relaxed with PBEsol (meta-GGA SCAN, Alexandria).

**Calculated volume**: 25.3 Å³ per atom
**E_form (uncorrected)**: 1.54 eV per atom
**D(E_F)**: 3.39 states/eV/f.u.
**Final energy**: -37.527 eV per atom
**Crystal system**: tetragonal
**Total magnetization**: 4.90 μB/f.u.
**Space-group type**: P4/mmm (123)

Lattice parameters (Å, degrees): 4.500 5.303 5.303 90.00 90.00 90.00
Element x y z (fractional)
Ga1 0.000 0.000 0.000
N1 0.500 0.500 0.500
Pb1 0.000 0.000 0.500
Pb2 0.000 0.500 0.000
Fe1 0.500 0.000 0.000

No. 4
# LiCeSi2

A crystal of LiCeSi2 relaxed with PBEsol (meta-GGA SCAN, Alexandria).

**Calculated volume**: 18.6 Å³ per atom
**E_form (uncorrected)**: -0.56 eV per atom
**D(E_F)**: 3.34 states/eV/f.u.
**Final energy**: -17.311 eV per atom
**Crystal system**: orthorhombic
**Total magnetization**: 0.95 μB/f.u.
**Space-group type**: Pnma (62)

Lattice parameters (Å, degrees): 3.830 7.557 10.303 90.00 90.00 90.00
Element x y z (fractional)
Si1 0.750 0.264 0.930
Si2 0.250 0.736 0.070
Si3 0.250 0.161 0.817
Si4 0.250 0.661 0.683
Si5 0.750 0.764 0.570
Si6 0.250 0.236 0.430
Si7 0.750 0.839 0.183
Si8 0.750 0.339 0.317
Ce1 0.750 0.361 0.635
Ce2 0.250 0.639 0.365
Ce3 0.750 0.861 0.865
Ce4 0.250 0.139 0.135
Li1 0.250 0.491 0.894
Li2 0.750 0.509 0.106
Li3 0.750 0.009 0.394
Li4 0.250 0.991 0.606

No. 5
# LaY2Sc

A crystal of LaY2Sc relaxed with PBEsol (meta-GGA SCAN, Alexandria).

**Calculated volume**: 29.9 Å³ per atom
**D(E_F)**: 5.14 states/eV/f.u.
**Final energy**: -28.160 eV per atom
**Crystal system**: cubic
**Total magnetization**: 0.00 μB/f.u.
**ΔH_f (0 K)**: 97 meV/atom
**ΔE to the lowest computed polymorph**: 27.8 meV per atom
**Space-group type**: F-43m (216)

Lattice parameters (Å, degrees): 5.533 5.533 5.533 60.00 60.00 60.00
Element x y z (fractional)
La1 0.500 0.500 0.500
Sc1 0.250 0.250 0.250
Y1 0.750 0.750 0.750
Y2 0.000 0.000 0.000

No. 6
# LiFeSbO4

A crystal of LiFeSbO4 relaxed with PBEsol (meta-GGA SCAN, Alexandria).

**Calculated volume**: 11.0 Å³ per atom
**E_form (uncorrected)**: -1.62 eV per atom
**D(E_F)**: 0.62 states/eV/f.u.
**Final energy**: -13.434 eV per atom
**Crystal system**: orthorhombic
**Total magnetization**: 0.04 μB/f.u.
**ΔE to the lowest computed polymorph**: 59.1 meV per atom
**Space-group type**: Imma (74)

Lattice parameters (Å, degrees): 5.857 5.994 6.263 121.50 90.00 119.25
Element x y z (fractional)
O1 0.757 0.035 0.768
O2 0.243 0.965 0.232
O3 0.742 0.484 0.784
O4 0.742 0.484 0.199
O5 0.258 0.516 0.216
O6 0.278 0.035 0.768
O7 0.722 0.965 0.232
O8 0.258 0.516 0.801
Sb1 0.500 0.000 0.500
Sb2 0.500 0.000 0.000
Fe1 0.000 0.500 0.000
Fe2 0.500 0.500 0.000
Li1 0.127 0.253 0.377
Li2 0.873 0.747 0.623

No. 7
# Ca2ScIn

A crystal of Ca2ScIn relaxed with PBEsol (meta-GGA SCAN, Alexandria).

**Calculated volume**: 27.4 Å³ per atom
**D(E_F)**: 2.49 states/eV/f.u.
**Final energy**: -16.886 eV per atom
**Crystal system**: tetragonal
**Total magnetization**: 0.00 μB/f.u.
**ΔH_f (0 K)**: -148 meV/atom
**Space-group type**: I4/mmm (139)

Lattice parameters (Å, degrees): 4.765 4.765 5.892 113.85 113.85 90.00
Element x y z (fractional)
Ca1 0.750 0.250 0.500
Ca2 0.250 0.750 0.500
In1 0.500 0.500 0.000
Sc1 0.000 0.000 0.000

No. 8
# LaCrRe2

A crystal of LaCrRe2 relaxed with PBEsol (meta-GGA SCAN, Alexandria).

**Calculated volume**: 19.1 Å³ per atom
**D(E_F)**: 3.00 states/eV/f.u.
**Final energy**: -50.435 eV per atom
**Crystal system**: monoclinic
**Total magnetization**: 0.96 μB/f.u.
**ΔH_f (0 K)**: 486 meV/atom
**ΔE to the lowest computed polymorph**: 0.0 meV per atom
**Space-group type**: Cm (8)

Lattice parameters (Å, degrees): 3.051 4.882 5.651 105.89 90.00 108.21
Element x y z (fractional)
Re1 0.244 0.487 0.744
Re2 0.973 0.947 0.894
La1 0.751 0.502 0.251
Cr1 0.532 0.065 0.611